Rb2Te2S3 | GGA-PBE | optimized geometry

Values from the calculation:
The calculation puts the uncorrected formation energy at -0.452 eV per atom.

CIF file:
```
data_Rb2Te2S3
_chemical_formula_sum 'Rb4 Te4 S6'
_space_group_name_H-M_alt 'C 1 2/m 1'
_space_group_IT_number 12
_space_group_name_Hall '-C 2y'
_cell_length_a 15.771
_cell_length_b 4.634
_cell_length_c 7.201
_cell_angle_alpha 90.00
_cell_angle_beta 109.09
_cell_angle_gamma 90.00
loop_
_atom_site_label
_atom_site_type_symbol
_atom_site_fract_x
_atom_site_fract_y
_atom_site_fract_z
Rb1 Rb 0.107 0.000 0.341
Te1 Te 0.138 0.500 0.861
S1 S 0.000 0.500 0.500
S2 S 0.238 0.500 0.192
```

---

CaZrNi2 | GGA-PBE | optimized geometry

Values from the calculation:
The calculation puts the calculated formation energy at -174.8 meV/atom.

CIF file:
```
data_CaZrNi2
_chemical_formula_sum 'Ca2 Zr2 Ni4'
_space_group_name_H-M_alt 'A m m 2'
_space_group_IT_number 38
_space_group_name_Hall 'A 2 -2'
_cell_length_a 4.030
_cell_length_b 3.570
_cell_length_c 10.752
_cell_angle_alpha 90.00
_cell_angle_beta 90.00
_cell_angle_gamma 90.00
loop_
_atom_site_label
_atom_site_type_symbol
_atom_site_fract_x
_atom_site_fract_y
_atom_site_fract_z
Ca1 Ca 0.000 0.000 0.000
Zr1 Zr 0.500 0.000 0.275
Ni1 Ni 0.000 0.000 0.730
Ni2 Ni 0.500 0.000 0.599
```

---

Ba8HgPt4 | GGA-PBE | optimized geometry

Values from the calculation:
The calculation puts the calculated formation energy at -590.6 meV/atom.

CIF file:
```
data_Ba8HgPt4
_chemical_formula_sum 'Ba16 Hg2 Pt8'
_space_group_name_H-M_alt 'C 1 m 1'
_space_group_IT_number 8
_space_group_name_Hall 'C -2y'
_cell_length_a 21.926
_cell_length_b 4.675
_cell_length_c 15.215
_cell_angle_alpha 90.00
_cell_angle_beta 132.49
_cell_angle_gamma 90.00
loop_
_atom_site_label
_atom_site_type_symbol
_atom_site_fract_x
_atom_site_fract_y
_atom_site_fract_z
Ba1 Ba 0.000 0.000 0.000
Ba2 Ba 0.013 0.000 0.733
Ba3 Ba 0.108 0.500 0.598
Ba4 Ba 0.198 0.500 0.066
Ba5 Ba 0.294 0.000 0.924
Ba6 Ba 0.307 0.000 0.658
Ba7 Ba 0.347 0.000 0.387
Ba8 Ba 0.457 0.500 0.268
Hg1 Hg 0.168 0.500 0.288
Pt1 Pt 0.003 0.500 0.862
Pt2 Pt 0.303 0.500 0.794
Pt3 Pt 0.326 0.000 0.160
Pt4 Pt 0.480 0.500 0.497
```

---

| no. | density of states at the Fermi level (states/eV/atom) |
| --- | --- |
| 1 | 0.108 |
| 2 | 0.704 |
| 3 | 0.573 |